(1)
# Ti6NbOs5, relaxed, DFT PBE-GGA
data_Ti6NbOs5
_space_group_name_H-M_alt 'C 1 2/m 1'
_space_group_IT_number 12
_space_group_name_Hall '-C 2y'
_cell_length_a 13.946
_cell_length_b 6.222
_cell_length_c 4.406
_cell_angle_alpha 90.00
_cell_angle_beta 108.29
_cell_angle_gamma 90.00
loop_
_atom_site_label
_atom_site_fract_x
_atom_site_fract_y
_atom_site_fract_z
Ti1 0.000 0.246 0.000
Ti2 0.169 0.248 0.669
Nb1 0.000 0.500 0.500
Os1 0.000 0.000 0.500
Os2 0.167 0.000 0.167
Os3 0.167 0.500 0.167
# Energy, eV/f.u.: -120.47
# Energy of formation, eV per formula unit: -6.89


(2)
# Ac2TmGe3Pd12, relaxed, DFT PBE-GGA
data_Ac2TmGe3Pd12
_space_group_name_H-M_alt 'R -3 m'
_space_group_IT_number 166
_space_group_name_Hall '-R 3 2"'
_cell_length_a 9.4514
_cell_length_b 9.4514
_cell_length_c 13.3305
_cell_angle_alpha 90.00
_cell_angle_beta 90.00
_cell_angle_gamma 120.00
loop_
_atom_site_label
_atom_site_fract_x
_atom_site_fract_y
_atom_site_fract_z
Ac1 0.0000 0.0000 0.1462
Tm1 0.0000 0.0000 0.5000
Ge1 0.0000 0.5000 0.0000
Pd1 0.0035 0.5017 0.1863
Pd2 0.0248 0.5124 0.3887
# Energy, eV/f.u.: -97.69
# Energy of formation, eV per formula unit: -8.83


(3)
# PrNd4Al, relaxed, DFT PBE-GGA
data_PrNd4Al
_space_group_name_H-M_alt 'C 1 2/c 1'
_space_group_IT_number 15
_space_group_name_Hall '-C 2yc'
_cell_length_a 9.084
_cell_length_b 14.207
_cell_length_c 6.447
_cell_angle_alpha 90.00
_cell_angle_beta 109.43
_cell_angle_gamma 90.00
loop_
_atom_site_label
_atom_site_fract_x
_atom_site_fract_y
_atom_site_fract_z
Pr1 0.000 0.095 0.250
Nd1 0.101 0.319 0.550
Nd2 0.222 0.110 0.872
Al1 0.000 0.500 0.250
# Energy, eV/f.u.: -27.82
# Polymorph energy (0 for the lowest one), meV per atom: 57.0
# Energy of formation, eV per formula unit: -0.23


(4)
# NbRe3Sb, relaxed, DFT PBE-GGA
data_NbRe3Sb
_space_group_name_H-M_alt 'P m -3 m'
_space_group_IT_number 221
_space_group_name_Hall '-P 4 2 3'
_cell_length_a 4.744
_cell_length_b 4.744
_cell_length_c 4.744
_cell_angle_alpha 90.00
_cell_angle_beta 90.00
_cell_angle_gamma 90.00
loop_
_atom_site_label
_atom_site_fract_x
_atom_site_fract_y
_atom_site_fract_z
Nb1 0.000 0.000 0.000
Re1 0.000 0.500 0.500
Sb1 0.500 0.500 0.500
# Energy, eV/f.u.: -39.67
# Polymorph energy (0 for the lowest one), meV per atom: 144.7
# Formation energy from raw total energies, eV per formula unit: 11.9


(5)
# ErScOs, relaxed, DFT PBE-GGA
data_ErScOs
_space_group_name_H-M_alt 'I 4 m m'
_space_group_IT_number 107
_space_group_name_Hall 'I 4 -2'
_cell_length_a 3.298
_cell_length_b 3.298
_cell_length_c 12.308
_cell_angle_alpha 90.00
_cell_angle_beta 90.00
_cell_angle_gamma 90.00
loop_
_atom_site_label
_atom_site_fract_x
_atom_site_fract_y
_atom_site_fract_z
Er1 0.000 0.000 0.000
Sc1 0.000 0.000 0.258
Os1 0.000 0.000 0.639
# Energy, eV/f.u.: -23.09
# Polymorph energy (0 for the lowest one), meV per atom: 53.5
# Energy of formation, eV per formula unit: -0.97


(6)
# Ta4BeAu2, relaxed, DFT PBE-GGA
data_Ta4BeAu2
_space_group_name_H-M_alt 'I 4/m m m'
_space_group_IT_number 139
_space_group_name_Hall '-I 4 2'
_cell_length_a 4.315
_cell_length_b 4.315
_cell_length_c 13.703
_cell_angle_alpha 90.00
_cell_angle_beta 90.00
_cell_angle_gamma 90.00
loop_
_atom_site_label
_atom_site_fract_x
_atom_site_fract_y
_atom_site_fract_z
Ta1 0.000 0.000 0.169
Ta2 0.000 0.500 0.000
Be1 0.000 0.000 0.000
Au1 0.000 0.000 0.364
# Energy, eV/f.u.: -54.22
# Energy of formation, eV per formula unit: 3.47


- Number 3 is which compound?
  PrNd4Al